[1]
# TlFeAu2

TlFeAu2 after structural relaxation (PBE, Alexandria).

The structure in POSCAR format:
```
TlFeAu2
1.0
3.712 0.000 0.000
0.000 3.019 0.129
0.000 2.826 6.886
Tl Au Fe
1 2 1
direct
0.500 0.761 0.736
0.500 0.226 0.275
0.000 0.980 0.029
0.000 0.533 0.461
```

Energy = -4.066 eV/atom
Space group = No. 6
Calculated formation energy = 0.280 eV per atom



[2]
# TlFe2Au2

TlFe2Au2 after structural relaxation (PBE, Alexandria).

The structure in POSCAR format:
```
TlFe2Au2
1.0
-6.834 -0.621 3.660
-3.553 -1.124 -6.826
0.409 -2.921 0.268
Au Fe Tl
4 4 2
direct
0.822 0.322 0.500
0.178 0.678 0.500
0.678 0.822 0.500
0.322 0.178 0.500
0.610 0.110 0.000
0.390 0.890 0.000
0.110 0.390 0.000
0.890 0.610 0.000
0.500 0.500 0.000
0.000 0.000 0.000
```

Energy = -4.879 eV/atom
Space group = No. 127
Calculated formation energy = 0.290 eV per atom